No. 1
Entry from the Alexandria database: crystalline LiPa2Te2N2 at its relaxed geometry (PBE). Values from VASP.

Properties
As for the crystal system: trigonal. As for the calculated volume: 170 Å³/f.u. As for the space group: P-3m1, No. 164. The calculation puts the density of states at the Fermi level at 2.5 states/eV/f.u. The calculation puts the total energy at -52.984 eV for the cell shown.

Geometry as Quantum ESPRESSO input:
```
&SYSTEM
  ibrav = 0, nat = 7, ntyp = 4
/
ATOMIC_SPECIES
Li 6.94 Li.upf
Pa 231.04 Pa.upf
Te 127.60 Te.upf
N 14.01 N.upf
CELL_PARAMETERS angstrom
-0.692 3.890 -0.576
-3.059 -2.526 0.456
0.285 1.847 12.140
ATOMIC_POSITIONS angstrom
Li 0.000 0.000 0.000
Pa -1.371 2.465 4.460
Pa -2.095 0.746 7.561
Te 0.225 1.457 9.580
Te 0.060 0.390 2.560
N -1.319 2.801 6.665
N -2.147 0.410 5.356
```

No. 2
Entry from the Alexandria database: crystalline Li3Pa3TeN8 at its relaxed geometry (PBE). Values from VASP.

Properties
As for the crystal system: trigonal. As for the calculated volume: 208 Å³/f.u. As for the space group: R-3m, No. 166. The calculation puts the density of states at the Fermi level at 0.1 states/eV/f.u. The calculation puts the total energy at -114.868 eV for the cell shown.

Geometry as Quantum ESPRESSO input:
```
&SYSTEM
  ibrav = 0, nat = 15, ntyp = 4
/
ATOMIC_SPECIES
Li 6.94 Li.upf
Pa 231.04 Pa.upf
Te 127.60 Te.upf
N 14.01 N.upf
CELL_PARAMETERS angstrom
-5.821 -1.538 3.528
4.614 -5.022 -1.476
1.205 4.761 4.062
ATOMIC_POSITIONS angstrom
Li 0.000 0.000 0.000
Li 2.307 -2.511 -0.738
Li -0.603 -3.280 1.026
Pa -2.308 1.612 3.795
Pa -0.001 -0.899 3.057
Pa 2.910 -0.131 1.293
Te 0.602 2.380 2.031
N 1.279 -1.657 1.387
N -1.280 -0.142 4.727
N -1.637 -2.588 3.072
N 1.636 0.789 3.042
N -4.116 0.110 3.865
N 4.115 -1.909 2.249
N -0.989 0.936 1.969
N 0.988 -2.735 4.145
```

No. 3
Entry from the Alexandria database: crystalline LiPaTeN at its relaxed geometry (PBE). Values from VASP.

Properties
As for the crystal system: trigonal. As for the calculated volume: 81 Å³/f.u. As for the space group: R-3m, No. 166. The calculation puts the density of states at the Fermi level at 1.0 states/eV/f.u. The calculation puts the total energy at -56.118 eV for the cell shown.

Geometry as Quantum ESPRESSO input:
```
&SYSTEM
  ibrav = 0, nat = 8, ntyp = 4
/
ATOMIC_SPECIES
Li 6.94 Li.upf
Pa 231.04 Pa.upf
Te 127.60 Te.upf
N 14.01 N.upf
CELL_PARAMETERS angstrom
4.071 0.000 0.000
2.036 3.526 0.000
2.036 1.175 11.248
ATOMIC_POSITIONS angstrom
Li 6.107 3.526 6.467
Li 2.036 1.175 4.781
Pa 4.071 2.351 1.326
Pa 4.071 2.351 9.922
Te 2.036 1.175 7.642
Te 6.107 3.526 3.606
N 6.107 3.526 10.413
N 2.036 1.175 0.835
```

No. 4
Entry from the Alexandria database: crystalline LiTh2PaN5 at its relaxed geometry (PBE). Values from VASP.

Properties
As for the crystal system: monoclinic. As for the calculated volume: 128 Å³/f.u. As for the space group: P2_1, No. 4. The calculation puts the density of states at the Fermi level at 4.3 states/eV/f.u. The calculation puts the total energy at -157.462 eV for the cell shown.

Geometry as Quantum ESPRESSO input:
```
&SYSTEM
  ibrav = 0, nat = 18, ntyp = 4
/
ATOMIC_SPECIES
Li 6.94 Li.upf
Th 232.04 Th.upf
Pa 231.04 Pa.upf
N 14.01 N.upf
CELL_PARAMETERS angstrom
-3.103 -1.203 1.223
1.601 -4.370 -5.360
5.085 -6.327 6.676
ATOMIC_POSITIONS angstrom
Li 3.425 -6.927 7.023
Li 2.486 -7.869 -1.428
Th 2.552 -9.398 2.396
Th 3.474 -5.393 3.508
Th 1.546 -3.142 0.819
Th -0.594 -5.632 -1.892
Pa 1.034 -6.807 1.063
Pa 0.024 -1.952 -1.838
N 0.049 -3.557 -3.372
N 2.843 -7.929 4.574
N 3.999 -9.872 0.452
N 3.356 -6.992 1.636
N 1.380 -8.687 0.104
N 1.013 -5.207 2.602
N 1.874 -5.381 -0.546
N -0.143 -2.368 2.446
N -0.751 -3.691 -0.381
N 0.346 -0.902 -0.003
```

No. 5
Entry from the Alexandria database: crystalline LiThPaN3 at its relaxed geometry (PBE). Values from VASP.

Properties
As for the crystal system: monoclinic. As for the calculated volume: 86 Å³/f.u. As for the space group: P2_1/m, No. 11. The calculation puts the density of states at the Fermi level at 2.5 states/eV/f.u. The calculation puts the total energy at -102.389 eV for the cell shown.

Geometry as Quantum ESPRESSO input:
```
&SYSTEM
  ibrav = 0, nat = 12, ntyp = 4
/
ATOMIC_SPECIES
Li 6.94 Li.upf
Th 232.04 Th.upf
Pa 231.04 Pa.upf
N 14.01 N.upf
CELL_PARAMETERS angstrom
3.368 0.000 0.000
0.000 7.431 0.451
0.000 -1.508 6.754
ATOMIC_POSITIONS angstrom
Li 0.842 -0.298 3.974
Li 2.526 6.220 3.230
Th 0.842 4.514 1.683
Th 2.526 1.408 5.522
Pa 0.842 0.918 1.432
Pa 2.526 5.005 5.772
N 2.526 6.404 1.267
N 0.842 -0.481 5.938
N 0.842 5.253 4.029
N 2.526 0.669 3.176
N 2.526 2.715 1.145
N 0.842 3.208 6.059
```

No. 6
Entry from the Alexandria database: crystalline LiThPa4N8 at its relaxed geometry (PBE). Values from VASP.

Properties
As for the crystal system: trigonal. As for the calculated volume: 230 Å³/f.u. As for the space group: R3m, No. 160. The calculation puts the density of states at the Fermi level at 0.9 states/eV/f.u. The calculation puts the total energy at -134.137 eV for the cell shown.

Geometry as Quantum ESPRESSO input:
```
&SYSTEM
  ibrav = 0, nat = 14, ntyp = 4
/
ATOMIC_SPECIES
Li 6.94 Li.upf
Th 232.04 Th.upf
Pa 231.04 Pa.upf
N 14.01 N.upf
CELL_PARAMETERS angstrom
-2.493 -5.236 4.143
-2.540 -5.972 -2.946
3.100 -5.862 0.588
ATOMIC_POSITIONS angstrom
Li 2.893 -5.769 0.580
Th 0.508 -9.191 0.951
Pa -2.686 -7.770 0.824
Pa 0.273 -5.896 -1.157
Pa 0.296 -5.533 2.339
Pa 1.526 -2.951 0.296
N -0.379 -10.273 -0.951
N -0.353 -9.858 3.046
N 1.053 -6.906 0.710
N -0.382 -4.312 0.450
N -1.427 -7.034 2.512
N -1.450 -7.398 -0.994
N -2.683 -9.988 1.055
N -1.621 -12.726 1.332
```

No. 7
Entry from the Alexandria database: crystalline LiPaTiN3 at its relaxed geometry (PBE). Values from VASP.

Properties
As for the crystal system: monoclinic. As for the calculated volume: 69 Å³/f.u. As for the space group: P2_1/m, No. 11. The calculation puts the density of states at the Fermi level at 1.1 states/eV/f.u. The calculation puts the total energy at -104.592 eV for the cell shown.

Geometry as Quantum ESPRESSO input:
```
&SYSTEM
  ibrav = 0, nat = 12, ntyp = 4
/
ATOMIC_SPECIES
Li 6.94 Li.upf
Pa 231.04 Pa.upf
Ti 47.87 Ti.upf
N 14.01 N.upf
CELL_PARAMETERS angstrom
3.334 0.000 0.000
0.000 5.708 -0.562
0.000 -2.156 7.501
ATOMIC_POSITIONS angstrom
Li 0.833 3.656 0.218
Li 2.500 -0.104 6.721
Pa 0.833 0.821 1.574
Pa 2.500 2.731 5.365
Ti 0.833 -0.311 4.638
Ti 2.500 3.863 2.302
N 2.500 5.009 0.468
N 0.833 -1.457 6.471
N 0.833 3.326 3.326
N 2.500 0.226 3.614
N 2.500 2.253 1.130
N 0.833 1.299 5.809
```

No. 8
Entry from the Alexandria database: crystalline LiPa2TiN5 at its relaxed geometry (PBE). Values from VASP.

Properties
As for the crystal system: orthorhombic. As for the calculated volume: 107 Å³/f.u. As for the space group: Cmc2_1, No. 36. The calculation puts the density of states at the Fermi level at 1.1 states/eV/f.u. The calculation puts the total energy at -163.876 eV for the cell shown.

Geometry as Quantum ESPRESSO input:
```
&SYSTEM
  ibrav = 0, nat = 18, ntyp = 4
/
ATOMIC_SPECIES
Li 6.94 Li.upf
Pa 231.04 Pa.upf
Ti 47.87 Ti.upf
N 14.01 N.upf
CELL_PARAMETERS angstrom
-2.390 0.549 -2.233
5.263 -1.787 -3.609
-2.823 -9.633 0.654
ATOMIC_POSITIONS angstrom
Li -3.643 -9.117 -0.804
Li 2.483 -5.884 -4.104
Pa -0.505 -8.488 -4.008
Pa -1.061 -6.729 -0.518
Pa 0.295 -3.273 -1.120
Pa 1.581 -2.540 -4.779
Ti -0.161 -5.472 -3.635
Ti 1.612 -0.619 -1.877
N 2.936 -1.125 -3.418
N -2.112 -8.804 -2.366
N 1.831 -8.931 -4.154
N 0.403 -7.261 -2.215
N 0.797 -6.578 -4.932
N -1.491 -4.990 -2.093
N 1.419 -4.605 -2.650
N -1.906 -2.370 -1.005
N 0.124 -1.986 -3.083
N 0.258 -0.866 -0.489
```